The following is a DFT calculation (PBE) of a geometry-optimized KP2Os structure.

Values from the calculation:
ΔH_f (0 K)   0.324 eV/atom
Energy   -5.46 eV per atom
DOS(E_F)   2.68 states/eV/cell

Lattice parameters (Å, degrees): 3.1480 3.1480 7.5644 90.00 90.00 90.00
Element x y z (fractional)
K  0.0000  0.0000  0.4852
Os  0.5000  0.5000  0.8580
P  0.0000  0.0000  0.9845
P  0.5000  0.5000  0.1724



The following is a DFT calculation (PBE) of a geometry-optimized LiPr3Ga4 structure.

Values from the calculation:
ΔH_f (0 K)   -0.350 eV/atom
Energy   -3.90 eV per atom
DOS(E_F)   4.89 states/eV/cell

Lattice parameters (Å, degrees): 3.8090 6.8589 8.9877 112.43 102.23 90.00
Element x y z (fractional)
Li  0.5000  0.0000  0.0000
Pr  0.2126  0.2126  0.4252
Pr  0.7874  0.7874  0.5748
Pr  0.0000  0.5000  0.0000
Ga  0.3815  0.6009  0.7631
Ga  0.6185  0.3991  0.2369
Ga  0.6185  0.8378  0.2369
Ga  0.3815  0.1622  0.7631



The following is a DFT calculation (PBE) of a geometry-optimized Ni2Sn2Ru structure.

Values from the calculation:
ΔH_f (0 K)   0.068 eV/atom
Energy   -5.70 eV per atom
DOS(E_F)   9.84 states/eV/cell

Lattice parameters (Å, degrees): 7.0121 7.0121 3.1236 90.00 90.00 90.00
Element x y z (fractional)
Ru  0.0000  0.0000  0.0000
Ru  0.5000  0.5000  0.0000
Sn  0.1783  0.6783  0.5000
Sn  0.6783  0.8217  0.5000
Sn  0.8217  0.3217  0.5000
Sn  0.3217  0.1783  0.5000
Ni  0.3786  0.8786  0.0000
Ni  0.8786  0.6214  0.0000
Ni  0.6214  0.1214  0.0000
Ni  0.1214  0.3786  0.0000



The following is a DFT calculation (PBE) of a geometry-optimized Sc2Be2Cr structure.

Values from the calculation:
ΔH_f (0 K)   0.142 eV/atom
Energy   -5.81 eV per atom
DOS(E_F)   11.02 states/eV/cell

Lattice parameters (Å, degrees): 6.8691 6.8691 3.3948 90.00 90.00 90.00
Element x y z (fractional)
Sc  0.1823  0.6823  0.5000
Sc  0.6823  0.8177  0.5000
Sc  0.8177  0.3177  0.5000
Sc  0.3177  0.1823  0.5000
Cr  0.0000  0.0000  0.0000
Cr  0.5000  0.5000  0.0000
Be  0.3874  0.8874  0.0000
Be  0.8874  0.6126  0.0000
Be  0.6126  0.1126  0.0000
Be  0.1126  0.3874  0.0000



The following is a DFT calculation (PBE) of a geometry-optimized LaY2Tl structure.

Values from the calculation:
ΔH_f (0 K)   -0.168 eV/atom
Energy   -5.22 eV per atom
DOS(E_F)   4.40 states/eV/cell

Lattice parameters (Å, degrees): 6.8231 6.8231 5.4283 66.50 66.50 33.38
Element x y z (fractional)
Y  0.9699  0.9699  0.0317
Y  0.7451  0.7451  0.7539
Tl  0.2585  0.2585  0.2393
La  0.5264  0.5264  0.4751



The following is a DFT calculation (PBE) of a geometry-optimized SrLa2ZnRh structure.

Values from the calculation:
ΔH_f (0 K)   -0.265 eV/atom
Energy   -4.30 eV per atom
DOS(E_F)   3.22 states/eV/cell

Lattice parameters (Å, degrees): 5.5450 5.5450 5.2289 90.00 90.00 90.00
Element x y z (fractional)
Sr  0.5000  0.5000  0.5000
Zn  0.0000  0.0000  0.5000
Rh  0.0000  0.0000  0.0000
La  0.0000  0.5000  0.0000
La  0.5000  0.0000  0.0000



The following is a DFT calculation (PBE) of a geometry-optimized Ni2HgHPt structure.

Values from the calculation:
Energy   -4.20 eV per atom
DOS(E_F)   5.76 states/eV/cell

Lattice parameters (Å, degrees): 3.9966 3.9966 3.7913 90.00 90.00 90.00
Element x y z (fractional)
Ni  0.0000  0.5000  0.0000
Ni  0.5000  0.0000  0.0000
Hg  0.5000  0.5000  0.5000
Pt  0.0000  0.0000  0.5000
H  0.0000  0.0000  0.0000



The following is a DFT calculation (PBE) of a geometry-optimized Cu2BiAsO6 structure.

Values from the calculation:
Formation energy without anion corrections   -94.3 kJ/mol of atoms
Energy   -5.62 eV per atom
DOS(E_F)   3.42 states/eV/cell

Lattice parameters (Å, degrees): 5.2861 7.9722 12.3711 90.00 90.00 90.00
Element x y z (fractional)
Cu  0.7500  0.2308  0.8676
Cu  0.7500  0.5366  0.1965
Cu  0.2500  0.7692  0.1324
Cu  0.7500  0.2692  0.3676
Cu  0.2500  0.0366  0.3035
Cu  0.2500  0.7308  0.6324
Cu  0.2500  0.4634  0.8035
Cu  0.7500  0.9634  0.6965
Bi  0.7500  0.6489  0.9440
Bi  0.2500  0.1489  0.5560
Bi  0.7500  0.8511  0.4440
Bi  0.2500  0.3511  0.0560
As  0.2500  0.5130  0.3737
As  0.7500  0.4870  0.6263
As  0.2500  0.9870  0.8737
As  0.7500  0.0130  0.1263
O  0.2500  0.7735  0.8798
O  0.9901  0.0670  0.8000
O  0.4901  0.5670  0.7000
O  0.4982  0.3961  0.9088
O  0.5018  0.6039  0.0912
O  0.4982  0.1039  0.4088
O  0.2500  0.7265  0.3798
O  0.7500  0.2735  0.6202
O  0.5099  0.0670  0.8000
O  0.7500  0.5774  0.5017
O  0.0099  0.5670  0.7000
O  0.5099  0.4330  0.3000
O  0.9901  0.4330  0.3000
O  0.0018  0.3961  0.9088
O  0.9982  0.6039  0.0912
O  0.4901  0.9330  0.2000
O  0.7500  0.2265  0.1202
O  0.7500  0.9226  0.0017
O  0.5018  0.8961  0.5913
O  0.9982  0.8961  0.5913
O  0.0099  0.9330  0.2000
O  0.2500  0.4226  0.4983
O  0.2500  0.0774  0.9983
O  0.0018  0.1039  0.4088



The following is a DFT calculation (PBE) of a geometry-optimized Ti2VC structure.

Values from the calculation:
ΔH_f (0 K)   -0.123 eV/atom
Energy   -8.66 eV per atom
DOS(E_F)   3.57 states/eV/cell

Lattice parameters (Å, degrees): 2.9676 2.9676 7.5481 78.66 78.66 60.00
Element x y z (fractional)
C  0.5000  0.5000  0.5000
Ti  0.1126  0.1126  0.6621
Ti  0.8874  0.8874  0.3379
V  0.0000  0.0000  0.0000



The following is a DFT calculation (PBE) of a geometry-optimized Pm3Sm8Er2 structure.

Values from the calculation:
ΔH_f (0 K)   0.161 eV/atom
Energy   -4.54 eV per atom
DOS(E_F)   22.42 states/eV/cell

Lattice parameters (Å, degrees): 6.2091 8.8294 8.8294 83.56 72.49 72.49
Element x y z (fractional)
Pm  0.5000  0.0000  0.0000
Pm  0.0000  0.2430  0.7570
Pm  0.0000  0.7570  0.2430
Sm  0.2164  0.5541  0.5541
Sm  0.7836  0.4459  0.4459
Sm  0.9495  0.1556  0.1556
Sm  0.0505  0.8444  0.8444
Sm  0.6720  0.5704  0.0846
Sm  0.6720  0.0846  0.5704
Sm  0.3280  0.9154  0.4296
Sm  0.3280  0.4296  0.9154
Er  0.3546  0.2873  0.2873
Er  0.6454  0.7127  0.7127



The following is a DFT calculation (PBE) of a geometry-optimized CaAlSeO6 structure.

Values from the calculation:
Formation energy without anion corrections   -168.0 kJ/mol of atoms
Energy   -6.07 eV per atom
DOS(E_F)   6.36 states/eV/cell

Lattice parameters (Å, degrees): 4.9447 4.9447 5.0726 90.00 90.00 60.00
Element x y z (fractional)
Ca  0.0000  0.0000  0.0000
Al  0.3333  0.3333  0.5000
Se  0.6666  0.6667  0.5000
O  0.9857  0.3786  0.2984
O  0.3786  0.9857  0.7016
O  0.6356  0.3787  0.7016
O  0.9857  0.6357  0.7016
O  0.3786  0.6357  0.2984
O  0.6356  0.9857  0.2984



The following is a DFT calculation (PBE) of a geometry-optimized RbAlSe2N structure.

Values from the calculation:
Formation energy without anion corrections   177.1 kJ/mol of atoms
Energy   -2.17 eV per atom
DOS(E_F)   12.63 states/eV/cell

Lattice parameters (Å, degrees): 5.8855 5.8855 4.6134 90.00 90.00 90.00
Element x y z (fractional)
N  0.0000  0.0000  0.5000
Se  0.0000  0.5000  0.0000
Se  0.5000  0.0000  0.0000
Rb  0.0000  0.0000  0.0000
Al  0.5000  0.5000  0.5000